# TmHfCd PBE-GGA relaxed
data_TmHfCd
_chemical_formula_sum 'Tm1 Hf1 Cd1'
_symmetry_space_group_name_H-M 'P 1'
_symmetry_Int_Tables_number 1
_symmetry_space_group_name_Hall 'P 1'
_cell_length_a 4.937
_cell_length_b 4.937
_cell_length_c 4.937
_cell_angle_alpha 60.00
_cell_angle_beta 60.00
_cell_angle_gamma 60.00
loop_
_atom_site_label
_atom_site_type_symbol
_atom_site_fract_x
_atom_site_fract_y
_atom_site_fract_z
Cd1 Cd 0.250 0.250 0.250
Tm1 Tm 0.750 0.750 0.750
Hf1 Hf 0.000 0.000 0.000
# M_tot: 0.173 μB per cell
# Energy relative to the lowest polymorph listed for this composition: 0 meV per atom